First-principles (PBE) data for an optimized crystal structure of Tb2HoSc, as listed in the Alexandria database. Values from VASP.

Cell and atoms, written as Quantum ESPRESSO input:
```
&SYSTEM
  ibrav = 0, nat = 4, ntyp = 3
/
ATOMIC_SPECIES
Tb 158.93 Tb.upf
Ho 164.93 Ho.upf
Sc 44.96 Sc.upf
CELL_PARAMETERS angstrom
5.536 0.000 0.000
2.768 4.794 0.000
2.768 1.598 4.520
ATOMIC_POSITIONS crystal
Tb 0.750 0.750 0.750
Tb 0.250 0.250 0.250
Ho 0.000 0.000 0.000
Sc 0.500 0.500 0.500
```

## Properties
- Excess energy over the best structure of this formula in the dataset: 0.36 eV/f.u.
- Formation energy from the elements: 0.12 eV per atom
- DOS(E_F): 7.38 states/eV/cell
- Magnetization: 0.0001 μB/atom
- Symmetry: Fm-3m, No. 225



First-principles (PBE) data for an optimized crystal structure of Tb4Ho4Sc3, as listed in the Alexandria database. Values from VASP.

Cell and atoms, written as Quantum ESPRESSO input:
```
&SYSTEM
  ibrav = 0, nat = 11, ntyp = 3
/
ATOMIC_SPECIES
Ho 164.93 Ho.upf
Sc 44.96 Sc.upf
Tb 158.93 Tb.upf
CELL_PARAMETERS angstrom
-2.313 -0.452 -2.466
1.578 -5.213 -0.525
-12.090 -7.589 10.369
ATOMIC_POSITIONS crystal
Ho 0.410 0.910 0.179
Sc 0.136 0.636 0.729
Tb 0.679 0.179 0.643
Tb 0.546 0.547 0.909
Ho 0.590 0.090 0.821
Tb 0.454 0.453 0.091
Sc 0.000 0.000 0.000
Ho 0.268 0.268 0.463
Ho 0.732 0.732 0.537
Tb 0.321 0.821 0.357
Sc 0.864 0.364 0.271
```

## Properties
- Formation energy from the elements: 0.10 eV per atom
- DOS(E_F): 22.21 states/eV/cell
- Magnetization: 0.0000 μB/atom
- Symmetry: P-1, No. 2



First-principles (PBE) data for an optimized crystal structure of TbHo2ScTe6, as listed in the Alexandria database. Values from VASP.

Cell and atoms, written as Quantum ESPRESSO input:
```
&SYSTEM
  ibrav = 0, nat = 10, ntyp = 4
/
ATOMIC_SPECIES
Sc 44.96 Sc.upf
Ho 164.93 Ho.upf
Te 127.60 Te.upf
Tb 158.93 Tb.upf
CELL_PARAMETERS angstrom
7.585 0.000 0.000
3.792 6.569 0.000
3.792 2.190 6.934
ATOMIC_POSITIONS crystal
Sc 0.326 0.326 0.021
Ho 0.008 0.008 0.975
Te 0.588 0.232 0.249
Te 0.721 0.103 0.759
Te 0.417 0.721 0.759
Te 0.932 0.588 0.249
Te 0.103 0.417 0.759
Ho 0.510 0.510 0.469
Tb 0.824 0.824 0.527
Te 0.232 0.932 0.249
```

## Properties
- Magnetization: 0.0000 μB/atom
- Energy relative to the elements, uncorrected: -1263 kJ/mol of formula units
- Symmetry: R3, No. 146



First-principles (PBE) data for an optimized crystal structure of Tb2Ho3ScTe6, as listed in the Alexandria database. Values from VASP.

Cell and atoms, written as Quantum ESPRESSO input:
```
&SYSTEM
  ibrav = 0, nat = 12, ntyp = 4
/
ATOMIC_SPECIES
Te 127.60 Te.upf
Ho 164.93 Ho.upf
Tb 158.93 Tb.upf
Sc 44.96 Sc.upf
CELL_PARAMETERS angstrom
-3.621 -1.061 -2.077
-1.050 -6.786 5.298
-2.777 7.429 5.511
ATOMIC_POSITIONS crystal
Te 0.003 0.759 0.005
Ho 0.173 0.836 0.346
Te 0.335 0.416 0.670
Tb 0.832 0.667 0.663
Tb 0.168 0.333 0.337
Te 0.665 0.584 0.330
Ho 0.500 0.500 0.000
Sc 0.500 0.000 0.000
Te 0.340 0.923 0.679
Te 0.997 0.241 0.995
Ho 0.827 0.164 0.654
Te 0.660 0.077 0.321
```

## Properties
- DOS(E_F): 7.05 states/eV/cell
- Magnetization: 0.0000 μB/atom
- Energy relative to the elements, uncorrected: -1435 kJ/mol of formula units
- Symmetry: C2/m, No. 12



First-principles (PBE) data for an optimized crystal structure of Tb2HoScTe4, as listed in the Alexandria database. Values from VASP.

Cell and atoms, written as Quantum ESPRESSO input:
```
&SYSTEM
  ibrav = 0, nat = 8, ntyp = 4
/
ATOMIC_SPECIES
Te 127.60 Te.upf
Tb 158.93 Tb.upf
Sc 44.96 Sc.upf
Ho 164.93 Ho.upf
CELL_PARAMETERS angstrom
-3.763 0.869 -1.839
-1.022 -7.312 -1.364
-3.558 -3.092 5.819
ATOMIC_POSITIONS crystal
Te 0.000 0.738 0.760
Tb 0.500 0.000 0.500
Tb 0.000 0.000 0.000
Sc 0.500 0.500 0.000
Te 0.500 0.742 0.247
Te 0.500 0.258 0.753
Ho 0.000 0.500 0.500
Te 0.000 0.262 0.240
```

## Properties
- DOS(E_F): 5.39 states/eV/cell
- Magnetization: 0.0000 μB/atom
- Energy relative to the elements, uncorrected: -953 kJ/mol of formula units
- Symmetry: P2/m, No. 10



First-principles (PBE) data for an optimized crystal structure of Tb3Ho2ScTe6, as listed in the Alexandria database. Values from VASP.

Cell and atoms, written as Quantum ESPRESSO input:
```
&SYSTEM
  ibrav = 0, nat = 12, ntyp = 4
/
ATOMIC_SPECIES
Te 127.60 Te.upf
Ho 164.93 Ho.upf
Tb 158.93 Tb.upf
Sc 44.96 Sc.upf
CELL_PARAMETERS angstrom
-0.578 3.168 -2.868
-0.964 -5.893 -6.316
-8.508 -0.322 4.602
ATOMIC_POSITIONS crystal
Te 0.339 0.918 0.679
Ho 0.833 0.667 0.666
Te 0.661 0.082 0.321
Te 0.001 0.761 0.002
Te 0.333 0.418 0.666
Tb 0.500 0.500 0.000
Ho 0.167 0.333 0.334
Te 0.667 0.582 0.334
Tb 0.829 0.164 0.658
Te 0.999 0.239 0.998
Tb 0.171 0.836 0.342
Sc 0.500 0.000 0.000
```

## Properties
- DOS(E_F): 6.79 states/eV/cell
- Magnetization: 0.0001 μB/atom
- Energy relative to the elements, uncorrected: -1448 kJ/mol of formula units
- Symmetry: C2/m, No. 12